(1)
{
  "formula": "Tb8HoTl2",
  "functional": "PBE-GGA",
  "state": "optimized geometry",
  "density_g_cm3": 9.3,
  "e_form_mev_per_atom": -86,
  "dft_energy_ev_per_atom": -4.30,
  "spacegroup": "No. 2",
  "lattice_angstrom": [[-1.267, 3.519, -4.670], [-1.762, -8.584, -2.750], [-4.395, 3.580, 5.522]],
  "species": ["Tb", "Tb", "Tb", "Tb", "Tb", "Tb", "Tb", "Tb", "Ho", "Tl", "Tl"],
  "fractional_positions": [[0.595, 0.462, 0.195], [0.318, 0.080, 0.642], [0.136, 0.184, 0.274], [0.037, 0.722, 0.098], [0.864, 0.816, 0.726], [0.682, 0.920, 0.358], [0.405, 0.538, 0.805], [0.963, 0.278, 0.902], [0.500, 0.000, 0.000], [0.236, 0.639, 0.457], [0.764, 0.361, 0.543]]
}

***

(2)
{
  "formula": "BeIN2",
  "functional": "PBE-GGA",
  "state": "optimized geometry",
  "density_g_cm3": 3.3,
  "raw_formation_energy_mev_per_atom": -53.3,
  "dft_energy_ev_per_atom": -5.54,
  "spacegroup": "No. 25",
  "lattice_angstrom": [[3.865, 0.000, 0.000], [0.000, 5.291, 0.000], [0.000, -0.001, 4.039]],
  "species": ["I", "Be", "N", "N"],
  "fractional_positions": [[0.572, 0.970, 0.865], [0.072, 0.258, 0.866], [0.072, 0.418, 0.220], [0.072, 0.418, 0.511]]
}

***

(3)
{
  "formula": "Ce5DySn6",
  "functional": "PBE-GGA",
  "state": "optimized geometry",
  "density_g_cm3": 8.0,
  "e_form_mev_per_atom": -596,
  "dft_energy_ev_per_atom": -5.45,
  "spacegroup": "No. 65",
  "lattice_angstrom": [[4.688, -0.028, 1.562], [0.048, 8.967, 0.016], [-0.001, -0.014, 7.817]],
  "species": ["Sn", "Sn", "Sn", "Sn", "Sn", "Sn", "Ce", "Ce", "Ce", "Ce", "Ce", "Dy"],
  "fractional_positions": [[0.835, 0.752, 0.330], [0.835, 0.248, 0.330], [0.500, 0.247, 0.000], [0.500, 0.753, 0.000], [0.165, 0.752, 0.670], [0.165, 0.248, 0.670], [0.667, 0.500, 0.666], [0.333, 0.000, 0.334], [0.000, 0.500, 0.000], [0.667, 0.000, 0.666], [0.333, 0.500, 0.334], [0.000, 0.000, 0.000]]
}